DFT (GGA-PBE) results for a relaxed ErBe2NiB crystal.

Properties
* energy of formation: -0.2776 eV per atom
* magnetic moment: 0.0 μB/cell
* space-group type: Imm2, No. 44
* DOS(E_F): 3.3 states/eV/f.u.
* E: -5.172 eV per atom

The structure in POSCAR format:
```
ErBe2NiB
1.0
3.671 0.000 0.000
0.000 3.611 0.000
-1.836 -1.806 4.436
Er Be Ni B
1 2 1 1
direct
0.439 0.439 0.878 Er
0.702 0.202 0.404 Be
0.056 0.056 0.113 Be
0.200 0.700 0.399 Ni
0.815 0.815 0.630 B
```